Record 1
# Ag2H3Pd2 (PBE, relaxed)
# VASP energy in eV per atom: -3.754
data_Ag2H3Pd2
_symmetry_space_group_name_H-M 'P -1'
_symmetry_Int_Tables_number 2
_symmetry_space_group_name_Hall '-P 1'
_cell_length_a 2.917
_cell_length_b 5.115
_cell_length_c 5.236
_cell_angle_alpha 98.99
_cell_angle_beta 91.53
_cell_angle_gamma 103.84
loop_
_atom_site_label
_atom_site_fract_x
_atom_site_fract_y
_atom_site_fract_z
Ag1 0.127 0.246 0.388
H1 0.000 0.000 0.000
H2 0.205 0.434 0.803
Pd1 0.364 0.754 0.117

Record 2
# AgHPd2 (PBE, relaxed)
# VASP energy in eV per atom: -4.209
# Excess energy over the best structure of this formula in the dataset in meV per atom: 0
data_AgHPd2
_symmetry_space_group_name_H-M 'R 3 m'
_symmetry_Int_Tables_number 160
_symmetry_space_group_name_Hall 'R 3 -2"'
_cell_length_a 2.8810
_cell_length_b 2.8810
_cell_length_c 21.1668
_cell_angle_alpha 90.00
_cell_angle_beta 90.00
_cell_angle_gamma 120.00
loop_
_atom_site_label
_atom_site_fract_x
_atom_site_fract_y
_atom_site_fract_z
Ag1 0.0000 0.0000 0.0000
H1 0.0000 0.0000 0.1699
Pd1 0.0000 0.0000 0.5553
Pd2 0.0000 0.0000 0.7771

Record 3
# AgHPd4 (PBE, relaxed)
# VASP energy in eV per atom: -4.485
# Excess energy over the best structure of this formula in the dataset in meV per atom: 0
data_AgHPd4
_symmetry_space_group_name_H-M 'P -1'
_symmetry_Int_Tables_number 2
_symmetry_space_group_name_Hall '-P 1'
_cell_length_a 4.826
_cell_length_b 4.928
_cell_length_c 7.459
_cell_angle_alpha 70.71
_cell_angle_beta 84.95
_cell_angle_gamma 89.93
loop_
_atom_site_label
_atom_site_fract_x
_atom_site_fract_y
_atom_site_fract_z
Ag1 0.250 0.157 0.000
H1 0.000 0.500 0.500
H2 0.500 0.000 0.500
Pd1 0.219 0.950 0.392
Pd2 0.230 0.549 0.202
Pd3 0.270 0.751 0.797
Pd4 0.281 0.342 0.607

Record 4
# Ag2H3Pd5 (PBE, relaxed)
# VASP energy in eV per atom: -4.132
# Excess energy over the best structure of this formula in the dataset in meV per atom: 12
data_Ag2H3Pd5
_symmetry_space_group_name_H-M 'I b a m'
_symmetry_Int_Tables_number 72
_symmetry_space_group_name_Hall '-I 2 2c'
_cell_length_a 7.128
_cell_length_b 12.440
_cell_length_c 5.543
_cell_angle_alpha 90.00
_cell_angle_beta 90.00
_cell_angle_gamma 90.00
loop_
_atom_site_label
_atom_site_fract_x
_atom_site_fract_y
_atom_site_fract_z
Ag1 0.220 0.129 0.000
H1 0.000 0.000 0.250
H2 0.088 0.365 0.000
Pd1 0.000 0.275 0.250
Pd2 0.000 0.500 0.250
Pd3 0.158 0.086 0.500

Record 5
# Ag3H4Pd7 (PBE, relaxed)
# VASP energy in eV per atom: -4.208
data_Ag3H4Pd7
_symmetry_space_group_name_H-M 'C 1 2/m 1'
_symmetry_Int_Tables_number 12
_symmetry_space_group_name_Hall '-C 2y'
_cell_length_a 14.085
_cell_length_b 2.836
_cell_length_c 9.382
_cell_angle_alpha 90.00
_cell_angle_beta 110.93
_cell_angle_gamma 90.00
loop_
_atom_site_label
_atom_site_fract_x
_atom_site_fract_y
_atom_site_fract_z
Ag1 0.000 0.000 0.000
Ag2 0.187 0.500 0.588
H1 0.158 0.000 0.902
H2 0.167 0.500 0.261
Pd1 0.000 0.000 0.500
Pd2 0.083 0.500 0.791
Pd3 0.104 0.000 0.303
Pd4 0.212 0.500 0.107

Record 6
# Ag3H2Pd3 (PBE, relaxed)
# VASP energy in eV per atom: -3.895
data_Ag3H2Pd3
_symmetry_space_group_name_H-M 'P -1'
_symmetry_Int_Tables_number 2
_symmetry_space_group_name_Hall '-P 1'
_cell_length_a 2.990
_cell_length_b 4.933
_cell_length_c 7.349
_cell_angle_alpha 85.15
_cell_angle_beta 78.35
_cell_angle_gamma 89.90
loop_
_atom_site_label
_atom_site_fract_x
_atom_site_fract_y
_atom_site_fract_z
Ag1 0.000 0.000 0.000
Ag2 0.162 0.401 0.679
H1 0.232 0.843 0.538
Pd1 0.333 0.101 0.329
Pd2 0.500 0.500 0.000

Record 7
# AgHPd2 (PBE, relaxed)
# VASP energy in eV per atom: -4.207
# Excess energy over the best structure of this formula in the dataset in meV per atom: 3
data_AgHPd2
_symmetry_space_group_name_H-M 'R -3 m'
_symmetry_Int_Tables_number 166
_symmetry_space_group_name_Hall '-R 3 2"'
_cell_length_a 2.8783
_cell_length_b 2.8783
_cell_length_c 21.1946
_cell_angle_alpha 90.00
_cell_angle_beta 90.00
_cell_angle_gamma 120.00
loop_
_atom_site_label
_atom_site_fract_x
_atom_site_fract_y
_atom_site_fract_z
Ag1 0.0000 0.0000 0.0000
H1 0.0000 0.0000 0.5000
Pd1 0.0000 0.0000 0.2226

Record 8
# AgHPd2 (PBE, relaxed)
# VASP energy in eV per atom: -4.129
# Excess energy over the best structure of this formula in the dataset in meV per atom: 80
data_AgHPd2
_symmetry_space_group_name_H-M 'I -4 2 d'
_symmetry_Int_Tables_number 122
_symmetry_space_group_name_Hall 'I -4 2bw'
_cell_length_a 6.065
_cell_length_b 6.065
_cell_length_c 5.887
_cell_angle_alpha 90.00
_cell_angle_beta 90.00
_cell_angle_gamma 90.00
loop_
_atom_site_label
_atom_site_fract_x
_atom_site_fract_y
_atom_site_fract_z
Ag1 0.000 0.000 0.000
H1 0.000 0.000 0.500
Pd1 0.129 0.250 0.625

Record 9
# AgH2Pd (PBE, relaxed)
# VASP energy in eV per atom: -3.597
# Excess energy over the best structure of this formula in the dataset in meV per atom: 67
data_AgH2Pd
_symmetry_space_group_name_H-M 'P 63/m m c'
_symmetry_Int_Tables_number 194
_symmetry_space_group_name_Hall '-P 6c 2c'
_cell_length_a 2.9604
_cell_length_b 2.9604
_cell_length_c 10.0777
_cell_angle_alpha 90.00
_cell_angle_beta 90.00
_cell_angle_gamma 120.00
loop_
_atom_site_label
_atom_site_fract_x
_atom_site_fract_y
_atom_site_fract_z
Ag1 0.0000 0.0000 0.0000
H1 0.3333 0.6667 0.1510
Pd1 0.3333 0.6667 0.7500

Record 10
# AgH2Pd (PBE, relaxed)
# VASP energy in eV per atom: -3.653
# Excess energy over the best structure of this formula in the dataset in meV per atom: 11
data_AgH2Pd
_symmetry_space_group_name_H-M 'I -4 2 d'
_symmetry_Int_Tables_number 122
_symmetry_space_group_name_Hall 'I -4 2bw'
_cell_length_a 4.274
_cell_length_b 4.274
_cell_length_c 9.066
_cell_angle_alpha 90.00
_cell_angle_beta 90.00
_cell_angle_gamma 90.00
loop_
_atom_site_label
_atom_site_fract_x
_atom_site_fract_y
_atom_site_fract_z
Ag1 0.000 0.000 0.000
H1 0.201 0.250 0.625
Pd1 0.000 0.000 0.500

Record 11
# AgH2Pd2 (PBE, relaxed)
# VASP energy in eV per atom: -3.883
# Excess energy over the best structure of this formula in the dataset in meV per atom: 179
data_AgH2Pd2
_symmetry_space_group_name_H-M 'P 4/m b m'
_symmetry_Int_Tables_number 127
_symmetry_space_group_name_Hall '-P 4 2ab'
_cell_length_a 6.300
_cell_length_b 6.300
_cell_length_c 2.960
_cell_angle_alpha 90.00
_cell_angle_beta 90.00
_cell_angle_gamma 90.00
loop_
_atom_site_label
_atom_site_fract_x
_atom_site_fract_y
_atom_site_fract_z
Ag1 0.000 0.000 0.000
H1 0.236 0.264 0.000
Pd1 0.156 0.656 0.500

Record 12
# AgHPd2 (PBE, relaxed)
# VASP energy in eV per atom: -3.663
# Excess energy over the best structure of this formula in the dataset in meV per atom: 546
data_AgHPd2
_symmetry_space_group_name_H-M 'F m -3 m'
_symmetry_Int_Tables_number 225
_symmetry_space_group_name_Hall '-F 4 2 3'
_cell_length_a 6.112
_cell_length_b 6.112
_cell_length_c 6.112
_cell_angle_alpha 90.00
_cell_angle_beta 90.00
_cell_angle_gamma 90.00
loop_
_atom_site_label
_atom_site_fract_x
_atom_site_fract_y
_atom_site_fract_z
Ag1 0.000 0.000 0.000
H1 0.000 0.000 0.500
Pd1 0.250 0.250 0.250

Please write out number 10 again, unchanged.
# AgH2Pd (PBE, relaxed)
# VASP energy in eV per atom: -3.653
# Excess energy over the best structure of this formula in the dataset in meV per atom: 11
data_AgH2Pd
_symmetry_space_group_name_H-M 'I -4 2 d'
_symmetry_Int_Tables_number 122
_symmetry_space_group_name_Hall 'I -4 2bw'
_cell_length_a 4.274
_cell_length_b 4.274
_cell_length_c 9.066
_cell_angle_alpha 90.00
_cell_angle_beta 90.00
_cell_angle_gamma 90.00
loop_
_atom_site_label
_atom_site_fract_x
_atom_site_fract_y
_atom_site_fract_z
Ag1 0.000 0.000 0.000
H1 0.201 0.250 0.625
Pd1 0.000 0.000 0.500

Copy entry 6 word for word.
# Ag3H2Pd3 (PBE, relaxed)
# VASP energy in eV per atom: -3.895
data_Ag3H2Pd3
_symmetry_space_group_name_H-M 'P -1'
_symmetry_Int_Tables_number 2
_symmetry_space_group_name_Hall '-P 1'
_cell_length_a 2.990
_cell_length_b 4.933
_cell_length_c 7.349
_cell_angle_alpha 85.15
_cell_angle_beta 78.35
_cell_angle_gamma 89.90
loop_
_atom_site_label
_atom_site_fract_x
_atom_site_fract_y
_atom_site_fract_z
Ag1 0.000 0.000 0.000
Ag2 0.162 0.401 0.679
H1 0.232 0.843 0.538
Pd1 0.333 0.101 0.329
Pd2 0.500 0.500 0.000